Record 1
The following is a PBE calculation of crystalline CuBiAs2 at its relaxed geometry, from the Open Quantum Materials Database.

a = 4.885 Å, b = 4.885 Å, c = 4.885 Å
α = 60.00°, β = 60.00°, γ = 60.00°
Fractional coordinates of all 4 atoms:
As: 0.000 0.000 0.000
As: 0.750 0.750 0.750
Cu: 0.250 0.250 0.250
Bi: 0.500 0.500 0.500

Computed properties:
crystal system = cubic
final energy = -3.83 eV per atom

=====

Record 2
The following is a PBE calculation of crystalline LiLuU at its relaxed geometry, from the Open Quantum Materials Database.

a = 4.806 Å, b = 4.806 Å, c = 4.806 Å
α = 60.00°, β = 60.00°, γ = 60.00°
Fractional coordinates of all 3 atoms:
U: 0.750 0.750 0.750
Lu: 0.250 0.250 0.250
Li: 0.000 0.000 0.000

Computed properties:
crystal system = cubic
final energy = -4.76 eV per atom